A plane-wave DFT calculation with PBE was carried out for a geometry-optimized Pm2Zn3Ga4Ag structure.

Cell lengths 4.2686, 4.2686, 10.6912 Å; angles 90.00, 90.00, 90.00 degrees
Last column: nearest neighbours and their distance in Å.
Element x y z (fractional)
1 Pm 0.0000 0.5000 0.2453  6 Zn 3.24-3.46, 8 Ga 3.26-3.38, 2 Ag 3.46
2 Pm 0.5000 0.0000 0.7547  6 Zn 3.24-3.46, 8 Ga 3.26-3.38, 2 Ag 3.46
3 Zn 0.0000 0.5000 0.8658  5 Ga 2.43-2.57
4 Zn 0.5000 0.0000 0.1342  5 Ga 2.43-2.57
5 Zn 0.5000 0.5000 0.5000  4 Ga 2.60
6 Ga 0.0000 0.0000 0.0000  4 Zn 2.57
7 Ga 0.0000 0.5000 0.6384  3 Zn 2.43-2.60, 2 Ag 2.60
8 Ga 0.5000 0.0000 0.3616  3 Zn 2.43-2.60, 2 Ag 2.60
9 Ga 0.5000 0.5000 0.0000  4 Zn 2.57
10 Ag 0.0000 0.0000 0.5000  4 Ga 2.60

Output
Calculated formation energy   -430 kJ/mol of formula units
V   19.48 A^3/atom

=====

A plane-wave DFT calculation with PBE was carried out for a geometry-optimized Ti2CdC structure.

Cell lengths 5.5651, 5.5651, 5.5651 Å; angles 110.45, 110.45, 107.53 degrees
Last column: nearest neighbours and their distance in Å.
Element x y z (fractional)
1 Ti 0.0257 0.1250 0.4007  2 C 2.03
2 Ti 0.3750 0.9743 0.0993  2 C 2.03
3 Ti 0.7243 0.6250 0.5993  2 C 2.03
4 Ti 0.8750 0.2757 0.9007  2 C 2.03
5 Cd 0.2500 0.7500 0.5000  8 Ti 2.85-3.09
6 Cd 0.5000 0.5000 0.0000  8 Ti 2.85-3.09
7 C 0.0000 0.0000 0.0000  4 Ti 2.03
8 C 0.7500 0.2500 0.5000  4 Ti 2.03

Output
Calculated formation energy   49 kJ/mol of formula units
Excess energy over the best structure of this formula in the dataset   680.7 meV per atom
V   16.57 A^3/atom

=====

A plane-wave DFT calculation with PBE was carried out for a geometry-optimized PmEr3Pb2 structure.

Cell lengths 4.5562, 4.5562, 8.5739 Å; angles 90.00, 90.00, 90.00 degrees
Last column: nearest neighbours and their distance in Å.
Element x y z (fractional)
1 Pm 0.0000 0.0000 0.0000  4 Er 3.22, 4 Pb 3.37
2 Er 0.0000 0.5000 0.3416  5 Pb 3.16-3.25
3 Er 0.5000 0.0000 0.6584  5 Pb 3.16-3.25
4 Er 0.5000 0.5000 0.0000  4 Pm 3.22, 4 Pb 3.37
5 Pb 0.0000 0.5000 0.7103  7 Er 3.16-3.37, 2 Pm 3.37
6 Pb 0.5000 0.0000 0.2897  7 Er 3.16-3.37, 2 Pm 3.37

Output
Calculated formation energy   -225 kJ/mol of formula units
Excess energy over the best structure of this formula in the dataset   0.0 meV per atom
V   29.66 A^3/atom

=====

A plane-wave DFT calculation with PBE was carried out for a geometry-optimized Tb2AgRh structure.

Cell lengths 3.5272, 3.5272, 7.1846 Å; angles 90.00, 90.00, 90.00 degrees
Last column: nearest neighbours and their distance in Å.
Element x y z (fractional)
1 Tb 0.0000 0.0000 0.2298  4 Rh 2.99, 4 Ag 3.16, 1 Tb 3.30
2 Tb 0.0000 0.0000 0.7702  4 Rh 2.99, 4 Ag 3.16, 1 Tb 3.30
3 Ag 0.5000 0.5000 0.5000  8 Tb 3.16, 4 Ag 3.53
4 Rh 0.5000 0.5000 0.0000  8 Tb 2.99

Output
Calculated formation energy   -224 kJ/mol of formula units
V   22.35 A^3/atom

=====

A plane-wave DFT calculation with PBE was carried out for a geometry-optimized La2PrTh structure.

Cell lengths 3.6327, 3.6327, 10.6390 Å; angles 90.00, 90.00, 90.00 degrees
Last column: nearest neighbours and their distance in Å.
Element x y z (fractional)
1 La 0.0000 0.0000 0.2326  4 Th 3.57, 4 La 3.63, 4 Pr 3.83
2 La 0.0000 0.0000 0.7674  4 Th 3.57, 4 La 3.63, 4 Pr 3.83
3 Pr 0.5000 0.5000 0.5000  4 Pr 3.63, 8 La 3.83
4 Th 0.5000 0.5000 0.0000  8 La 3.57, 4 Th 3.63

Output
Calculated formation energy   9 kJ/mol of formula units
Excess energy over the best structure of this formula in the dataset   8.7 meV per atom
V   35.10 A^3/atom

=====

A plane-wave DFT calculation with PBE was carried out for a geometry-optimized BaRuSCl2 structure.

Cell lengths 5.0024, 5.0024, 4.6418 Å; angles 90.00, 90.00, 90.00 degrees
Last column: nearest neighbours and their distance in Å.
Element x y z (fractional)
1 Ba 0.0000 0.0000 0.0000  8 Cl 3.41, 4 S 3.54
2 Ru 0.5000 0.5000 0.5000  2 S 2.32, 4 Cl 2.50
3 S 0.5000 0.5000 0.0000  2 Ru 2.32
4 Cl 0.0000 0.5000 0.5000  2 Ru 2.50
5 Cl 0.5000 0.0000 0.5000  2 Ru 2.50

Output
Excess energy over the best structure of this formula in the dataset   0.0 meV per atom
V   23.23 A^3/atom

=====

A plane-wave DFT calculation with PBE was carried out for a geometry-optimized Ba2NaLi2Ag structure.

Cell lengths 9.4752, 9.4752, 9.4752 Å; angles 132.65, 68.10, 134.06 degrees
Last column: nearest neighbours and their distance in Å.
Element x y z (fractional)
1 Ba 0.1667 0.2136 0.3803  4 Li 3.54-3.94, 2 Ag 3.59, 2 Na 3.88
2 Ba 0.3333 0.7136 0.0469  4 Li 3.54-3.94, 2 Ag 3.59, 2 Na 3.88
3 Ba 0.6667 0.2864 0.9531  4 Li 3.54-3.94, 2 Ag 3.59, 2 Na 3.88
4 Ba 0.8333 0.7864 0.6197  4 Li 3.54-3.94, 2 Ag 3.59, 2 Na 3.88
5 Na 0.2500 0.7500 0.5000  4 Li 3.11
6 Na 0.7500 0.2500 0.5000  4 Li 3.11
7 Li 0.0796 0.7841 0.8638  2 Ag 2.77
8 Li 0.4204 0.2841 0.7045  2 Ag 2.77
9 Li 0.5796 0.7159 0.2955  2 Ag 2.77
10 Li 0.9204 0.2159 0.1362  2 Ag 2.77
11 Ag 0.2500 0.2500 0.0000  4 Li 2.77
12 Ag 0.7500 0.7500 0.0000  4 Li 2.77

Output
Calculated formation energy   -22 kJ/mol of formula units
V   36.81 A^3/atom

=====

A plane-wave DFT calculation with PBE was carried out for a geometry-optimized Sr2HfFe structure.

Cell lengths 5.3739, 5.3739, 5.3739 Å; angles 60.00, 60.00, 60.00 degrees
Last column: nearest neighbours and their distance in Å.
Element x y z (fractional)
1 Sr 0.2500 0.2500 0.2500  4 Fe 3.29, 4 Hf 3.29
2 Sr 0.7500 0.7500 0.7500  4 Hf 3.29, 4 Fe 3.29
3 Hf 0.0000 0.0000 0.0000  8 Sr 3.29
4 Fe 0.5000 0.5000 0.5000  8 Sr 3.29

Output
Calculated formation energy   489 kJ/mol of formula units
Excess energy over the best structure of this formula in the dataset   530.0 meV per atom
V   27.43 A^3/atom

=====

A plane-wave DFT calculation with PBE was carried out for a geometry-optimized SrNbPt2Au structure.

Cell lengths 5.1675, 5.1675, 4.8653 Å; angles 90.00, 90.00, 90.00 degrees
Last column: nearest neighbours and their distance in Å.
Element x y z (fractional)
1 Sr 0.0000 0.0000 0.0000  8 Pt 3.55, 4 Nb 3.65
2 Nb 0.5000 0.5000 0.0000  2 Au 2.43
3 Pt 0.0000 0.5000 0.5000  2 Au 2.58
4 Pt 0.5000 0.0000 0.5000  2 Au 2.58
5 Au 0.5000 0.5000 0.5000  2 Nb 2.43, 4 Pt 2.58

Output
Calculated formation energy   287 kJ/mol of formula units
V   25.98 A^3/atom

=====

A plane-wave DFT calculation with PBE was carried out for a geometry-optimized ZrNiRu structure.

Cell lengths 4.1853, 4.1853, 4.1853 Å; angles 60.00, 60.00, 60.00 degrees
Last column: nearest neighbours and their distance in Å.
Element x y z (fractional)
1 Zr 0.0000 0.0000 0.0000  4 Ni 2.56
2 Ni 0.7500 0.7500 0.7500  4 Zr 2.56, 4 Ru 2.56
3 Ru 0.5000 0.5000 0.5000  4 Ni 2.56

Output
Calculated formation energy   18 kJ/mol of formula units
Excess energy over the best structure of this formula in the dataset   466.6 meV per atom
V   17.28 A^3/atom

=====

A plane-wave DFT calculation with PBE was carried out for a geometry-optimized In2Cu7Pt2Au structure.

Cell lengths 3.5335, 3.5335, 15.0809 Å; angles 96.66, 96.66, 89.98 degrees
Last column: nearest neighbours and their distance in Å.
Element x y z (fractional)
1 In 0.1379 0.1379 0.2812  5 Cu 2.64-2.77, 4 Pt 2.84
2 In 0.8621 0.8621 0.7188  5 Cu 2.64-2.77, 4 Pt 2.84
3 Cu 0.0000 0.0000 0.0000  4 Au 2.50, 8 Cu 2.71-2.72
4 Cu 0.0665 0.5666 0.1383  6 Cu 2.50-2.72, 2 Au 2.71-2.72, 2 In 2.76-2.77
5 Cu 0.2273 0.2273 0.4588  5 Pt 2.53-2.82, 1 In 2.64, 4 Cu 2.76-2.80
6 Cu 0.4334 0.9335 0.8617  6 Cu 2.50-2.72, 2 Au 2.71-2.72, 2 In 2.76-2.77
7 Cu 0.5666 0.0665 0.1383  6 Cu 2.50-2.72, 2 Au 2.71-2.72, 2 In 2.76-2.77
8 Cu 0.7727 0.7727 0.5412  5 Pt 2.53-2.82, 1 In 2.64, 4 Cu 2.76-2.80
9 Cu 0.9335 0.4334 0.8617  6 Cu 2.50-2.72, 2 Au 2.71-2.72, 2 In 2.76-2.77
10 Pt 0.3174 0.3174 0.6287  5 Cu 2.53-2.82
11 Pt 0.6826 0.6826 0.3713  5 Cu 2.53-2.82
12 Au 0.5000 0.5000 0.0000  12 Cu 2.50-2.72

Output
Calculated formation energy   6 kJ/mol of formula units
V   15.48 A^3/atom

=====

A plane-wave DFT calculation with PBE was carried out for a geometry-optimized HoPd7Pb2 structure.

Cell lengths 8.0486, 8.0486, 4.2894 Å; angles 90.00, 90.00, 125.14 degrees
Last column: nearest neighbours and their distance in Å.
Element x y z (fractional)
1 Ho 0.0000 0.0000 0.0000  10 Pd 2.76-2.91
2 Pd 0.0809 0.2823 0.5000  5 Pd 2.69-2.88, 1 Pb 2.71, 2 Ho 2.91
3 Pd 0.1929 0.8071 0.0000  2 Pb 2.68, 1 Ho 2.76, 4 Pd 2.85
4 Pd 0.2823 0.0809 0.5000  5 Pd 2.69-2.88, 1 Pb 2.71, 2 Ho 2.91
5 Pd 0.5000 0.5000 0.5000  4 Pd 2.77, 2 Pb 2.77
6 Pd 0.7177 0.9191 0.5000  5 Pd 2.69-2.88, 1 Pb 2.71, 2 Ho 2.91
7 Pd 0.8071 0.1929 0.0000  2 Pb 2.68, 1 Ho 2.76, 4 Pd 2.85
8 Pd 0.9191 0.7177 0.5000  5 Pd 2.69-2.88, 1 Pb 2.71, 2 Ho 2.91
9 Pb 0.3060 0.6940 0.5000  5 Pd 2.68-2.77
10 Pb 0.6940 0.3060 0.5000  5 Pd 2.68-2.77

Output
Calculated formation energy   -127 kJ/mol of formula units
V   22.72 A^3/atom